# Sr5Ca4, optimized geometry, DFT GGA-PBE
data_Sr5Ca4
_space_group_name_H-M_alt 'I 4/m m m'
_space_group_IT_number 139
_space_group_name_Hall '-I 4 2'
_cell_length_a 12.2861
_cell_length_b 12.2861
_cell_length_c 5.8175
_cell_angle_alpha 90.00
_cell_angle_beta 90.00
_cell_angle_gamma 90.00
loop_
_atom_site_label
_atom_site_type_symbol
_atom_site_fract_x
_atom_site_fract_y
_atom_site_fract_z
_atom_site_occupancy
Sr1 Sr 0.0000 0.0000 0.0000 1
Sr2 Sr 0.1689 0.1689 0.5000 1
Ca1 Ca 0.0000 0.3417 0.0000 1
# DFT formation energy = 14 meV per atom
# final energy = -1.810 eV per atom
# DOS at the Fermi energy = 23.662 states/eV per cell